GGA-PBE ZrTc2BIr, optimized geometry; ρ = 11.16 Mg/m³; electronic total energy = -9.36 eV per atom; V = 72.9 Å³/f.u.; DOS(E_F) = 5.65 states/eV/cell; formation energy from the elements = -0.3926 eV/atom
1.0
4.190 0.000 0.000
0.000 4.190 0.000
0.000 0.000 4.155
Zr Tc B Ir
1 2 1 1
Direct
0.000 0.000 0.000
0.000 0.500 0.500
0.500 0.000 0.500
0.500 0.500 0.500
0.500 0.500 0.000

GGA-PBE LaScNi2, optimized geometry; ρ = 6.61 Mg/m³; electronic total energy = -6.00 eV per atom; V = 75.7 Å³/f.u.; DOS(E_F) = 2.89 states/eV/cell; formation energy from the elements = -0.2934 eV/atom
1.0
4.814 0.000 0.000
0.000 4.814 0.000
0.000 0.000 3.266
La Sc Ni
1 1 2
Direct
0.000 0.000 0.000
0.500 0.500 0.000
0.000 0.500 0.500
0.500 0.000 0.500

GGA-PBE As3Ru, optimized geometry; ρ = 6.61 Mg/m³; electronic total energy = -5.83 eV per atom; V = 81.9 Å³/f.u.; DOS(E_F) = 0.98 states/eV/cell; formation energy from the elements = -0.0245 eV/atom
1.0
2.277 -4.497 0.000
2.277 4.497 0.000
0.000 0.000 4.000
As Ru
3 1
Direct
0.000 0.000 0.000
0.323 0.677 0.500
0.677 0.323 0.500
0.500 0.500 0.000

GGA-PBE Si2Rh3, optimized geometry; ΔE_f (raw) = -0.817 eV/atom; ρ = 8.55 Mg/m³; electronic total energy = -7.40 eV per atom; V = 70.9 Å³/f.u.; DOS(E_F) = 1.08 states/eV/cell
1.0
3.987 0.000 0.000
-1.993 3.453 0.000
0.000 0.000 5.149
Si Rh
2 3
Direct
0.333 0.667 0.298
0.667 0.333 0.702
0.000 0.000 0.500
0.333 0.667 0.828
0.667 0.333 0.172

GGA-PBE FeHg4Ir, optimized geometry; ρ = 14.15 Mg/m³; electronic total energy = -2.15 eV per atom; V = 123.3 Å³/f.u.; DOS(E_F) = 5.15 states/eV/cell; formation energy from the elements = 0.9405 eV/atom
1.0
0.000 3.950 3.950
3.950 0.000 3.950
3.950 3.950 0.000
Fe Hg Ir
1 4 1
Direct
0.000 0.000 0.000
0.125 0.625 0.625
0.625 0.125 0.625
0.625 0.625 0.125
0.625 0.625 0.625
0.250 0.250 0.250

GGA-PBE Nd3Sm3Zn2Hg, optimized geometry; ρ = 7.88 Mg/m³; electronic total energy = -3.64 eV per atom; V = 256.0 Å³/f.u.; DOS(E_F) = 12.77 states/eV/cell; formation energy from the elements = -0.1605 eV/atom
1.0
8.898 0.000 0.000
-4.449 7.706 0.000
0.000 0.000 3.734
Nd Sm Zn Hg
3 3 2 1
Direct
0.000 0.711 0.000
0.289 0.289 0.000
0.711 0.000 0.000
0.000 0.385 0.500
0.385 0.000 0.500
0.615 0.615 0.500
0.333 0.667 0.000
0.667 0.333 0.000
0.000 0.000 0.500

GGA-PBE LaPm2SmTl4, optimized geometry; ρ = 9.74 Mg/m³; electronic total energy = -3.97 eV per atom; V = 238.2 Å³/f.u.; DOS(E_F) = 7.26 states/eV/cell; formation energy from the elements = -0.3888 eV/atom
1.0
2.760 1.593 9.027
-2.760 1.593 9.027
0.000 -3.187 9.027
La Pm Sm Tl
1 2 1 4
Direct
0.000 0.000 0.000
0.250 0.250 0.250
0.750 0.750 0.750
0.500 0.500 0.500
0.126 0.126 0.126
0.376 0.376 0.376
0.624 0.624 0.624
0.874 0.874 0.874

GGA-PBE Cs3ThTe3, optimized geometry; ΔE_f (raw) = -1.020 eV/atom; ρ = 4.25 Mg/m³; electronic total energy = -3.79 eV per atom; V = 396.5 Å³/f.u.; DOS(E_F) = 4.04 states/eV/cell
1.0
5.282 -8.081 0.000
5.282 8.081 0.000
-2.093 0.000 9.289
Cs Th Te
6 2 6
Direct
0.173 0.827 0.000
0.262 0.738 0.500
0.389 0.389 0.140
0.611 0.611 0.860
0.738 0.262 0.500
0.827 0.173 0.000
0.168 0.168 0.633
0.832 0.832 0.367
0.102 0.102 0.298
0.149 0.452 0.778
0.452 0.149 0.778
0.548 0.851 0.222
0.851 0.548 0.222
0.898 0.898 0.702

GGA-PBE Ba2NpGe2N6, optimized geometry; ΔE_f (raw) = -0.485 eV/atom; ρ = 6.60 Mg/m³; electronic total energy = -7.39 eV per atom; V = 186.3 Å³/f.u.; DOS(E_F) = 2.46 states/eV/cell
1.0
3.004 1.734 5.961
-3.004 1.734 5.961
0.000 -3.469 5.961
Ba Np Ge N
2 1 2 6
Direct
0.213 0.213 0.213
0.787 0.787 0.787
0.000 0.000 0.000
0.408 0.408 0.408
0.592 0.592 0.592
0.239 0.239 0.754
0.239 0.754 0.239
0.246 0.761 0.761
0.754 0.239 0.239
0.761 0.246 0.761
0.761 0.761 0.246

GGA-PBE NdSm5As6, optimized geometry; ρ = 6.98 Mg/m³; electronic total energy = -6.21 eV per atom; V = 319.9 Å³/f.u.; DOS(E_F) = 1.10 states/eV/cell; formation energy from the elements = -1.5258 eV/atom
1.0
3.660 -6.336 0.000
3.660 6.336 0.000
-2.441 0.000 6.898
Nd Sm As
1 5 6
Direct
0.000 0.000 0.000
0.166 0.834 0.500
0.333 0.667 0.000
0.500 0.500 0.500
0.667 0.333 0.000
0.834 0.166 0.500
0.084 0.419 0.251
0.252 0.252 0.749
0.419 0.084 0.251
0.581 0.916 0.749
0.748 0.748 0.251
0.916 0.581 0.749

GGA-PBE CaBe2ZnH8, optimized geometry; ρ = 1.93 Mg/m³; electronic total energy = -3.26 eV per atom; V = 113.0 Å³/f.u.; DOS(E_F) = 0.00 states/eV/cell
1.0
3.558 -2.388 0.000
3.558 2.388 0.000
-0.757 0.000 6.648
Ca Be Zn H
1 2 1 8
Direct
0.000 0.000 0.000
0.371 0.371 0.725
0.629 0.629 0.275
0.000 0.000 0.500
0.238 0.238 0.551
0.242 0.731 0.713
0.269 0.758 0.287
0.309 0.309 0.924
0.691 0.691 0.076
0.731 0.242 0.713
0.758 0.269 0.287
0.762 0.762 0.449

GGA-PBE UMoC, optimized geometry; ρ = 12.43 Mg/m³; electronic total energy = -10.39 eV per atom; V = 46.2 Å³/f.u.; DOS(E_F) = 9.38 states/eV/cell; formation energy from the elements = 0.0600 eV/atom
1.0
4.942 0.000 0.000
0.000 3.054 0.000
-0.858 0.000 6.127
U Mo C
2 2 2
Direct
0.218 0.250 0.320
0.782 0.750 0.680
0.308 0.250 0.844
0.692 0.750 0.156
0.267 0.750 0.608
0.733 0.250 0.392

GGA-PBE MgMnOs2, optimized geometry; ρ = 13.03 Mg/m³; electronic total energy = -7.99 eV per atom; V = 58.6 Å³/f.u.; DOS(E_F) = 4.38 states/eV/cell; formation energy from the elements = 0.3130 eV/atom
1.0
2.944 0.000 0.000
0.000 4.408 0.000
0.000 0.000 4.515
Mg Mn Os
1 1 2
Direct
0.000 0.000 0.000
0.500 0.000 0.500
0.000 0.500 0.500
0.500 0.500 0.000

GGA-PBE NaTe2N2, optimized geometry; ΔE_f (raw) = 1.282 eV/atom; ρ = 5.66 Mg/m³; electronic total energy = -3.57 eV per atom; V = 89.8 Å³/f.u.; DOS(E_F) = 3.56 states/eV/cell
1.0
4.727 0.000 0.000
0.000 4.727 0.000
0.000 0.000 4.019
Na Te N
1 2 2
Direct
0.000 0.000 0.000
0.000 0.500 0.500
0.500 0.000 0.500
0.500 0.500 0.000
0.500 0.500 0.500

GGA-PBE GdTmZn, optimized geometry; ρ = 8.33 Mg/m³; electronic total energy = -6.66 eV per atom; V = 78.1 Å³/f.u.; DOS(E_F) = 3.45 states/eV/cell; formation energy from the elements = -0.0535 eV/atom
1.0
4.978 0.000 0.000
-2.489 4.311 0.000
0.000 0.000 3.639
Gd Tm Zn
1 1 1
Direct
0.000 0.000 0.000
0.333 0.667 0.534
0.667 0.333 0.341

GGA-PBE BeBH, optimized geometry; ρ = 1.58 Mg/m³; electronic total energy = -4.51 eV per atom; V = 21.9 Å³/f.u.; DOS(E_F) = 0.77 states/eV/cell
1.0
1.465 0.846 5.890
-1.465 0.846 5.890
0.000 -1.692 5.890
Be B H
2 2 2
Direct
0.000 0.000 0.000
0.164 0.164 0.164
0.278 0.278 0.278
0.608 0.608 0.608
0.080 0.080 0.080
0.824 0.824 0.824

GGA-PBE Ac6SiGe3, optimized geometry; ΔE_f (raw) = -0.437 eV/atom; ρ = 7.01 Mg/m³; electronic total energy = -4.83 eV per atom; V = 380.8 Å³/f.u.; DOS(E_F) = 15.94 states/eV/cell
1.0
6.281 3.626 5.572
-6.281 3.626 5.572
0.000 -7.253 5.572
Ac Si Ge
12 2 6
Direct
0.100 0.706 0.870
0.130 0.900 0.294
0.176 0.391 0.521
0.294 0.130 0.900
0.391 0.521 0.176
0.479 0.824 0.609
0.521 0.176 0.391
0.609 0.479 0.824
0.706 0.870 0.100
0.824 0.609 0.479
0.870 0.100 0.706
0.900 0.294 0.130
0.000 0.000 0.000
0.500 0.500 0.500
0.047 0.580 0.216
0.216 0.047 0.580
0.420 0.784 0.953
0.580 0.216 0.047
0.784 0.953 0.420
0.953 0.420 0.784

GGA-PBE DyNiGe, optimized geometry; ρ = 9.12 Mg/m³; electronic total energy = -5.80 eV per atom; V = 53.5 Å³/f.u.; DOS(E_F) = 7.67 states/eV/cell; formation energy from the elements = -0.8002 eV/atom
1.0
6.939 0.000 0.000
0.000 4.245 0.000
0.000 0.000 7.269
Dy Ni Ge
4 4 4
Direct
0.009 0.250 0.206
0.491 0.750 0.706
0.509 0.250 0.294
0.991 0.750 0.794
0.192 0.750 0.419
0.308 0.250 0.919
0.692 0.750 0.081
0.808 0.250 0.581
0.196 0.250 0.589
0.304 0.750 0.089
0.696 0.250 0.911
0.804 0.750 0.411

GGA-PBE LaAs3Pd, optimized geometry; ρ = 4.43 Mg/m³; electronic total energy = -3.85 eV per atom; V = 176.1 Å³/f.u.; DOS(E_F) = 9.66 states/eV/cell; formation energy from the elements = 0.9635 eV/atom
1.0
5.605 0.000 0.000
0.000 5.605 0.000
0.000 0.000 5.605
La As Pd
1 3 1
Direct
0.000 0.000 0.000
0.000 0.000 0.500
0.000 0.500 0.000
0.500 0.000 0.000
0.500 0.500 0.500

GGA-PBE Tm2Sc2Rh, optimized geometry; ρ = 6.96 Mg/m³; electronic total energy = -6.11 eV per atom; V = 126.6 Å³/f.u.; DOS(E_F) = 14.28 states/eV/cell; formation energy from the elements = -0.3207 eV/atom
1.0
3.537 -5.671 0.000
3.537 5.671 0.000
-3.262 0.000 6.314
Tm Sc Rh
4 4 2
Direct
0.180 0.749 0.751
0.251 0.820 0.249
0.749 0.180 0.751
0.820 0.251 0.249
0.246 0.246 0.611
0.261 0.261 0.101
0.739 0.739 0.899
0.754 0.754 0.389
0.377 0.623 0.500
0.623 0.377 0.500

GGA-PBE Ni3Mo, optimized geometry; ρ = 9.34 Mg/m³; electronic total energy = -6.98 eV per atom; V = 48.4 Å³/f.u.; DOS(E_F) = 6.19 states/eV/cell; formation energy from the elements = 0.0632 eV/atom
1.0
0.000 2.892 2.892
2.892 0.000 2.892
2.892 2.892 0.000
Ni Mo
3 1
Direct
0.000 0.000 0.000
0.250 0.250 0.250
0.750 0.750 0.750
0.500 0.500 0.500

GGA-PBE Sr2AgSb4Pt3, optimized geometry; ΔE_f (raw) = -0.712 eV/atom; ρ = 9.21 Mg/m³; electronic total energy = -4.79 eV per atom; V = 244.3 Å³/f.u.; DOS(E_F) = 4.91 states/eV/cell
1.0
4.725 0.000 0.000
0.000 4.725 0.000
0.000 0.000 10.943
Sr Ag Sb Pt
2 1 4 3
Direct
0.000 0.500 0.242
0.500 0.000 0.758
0.500 0.500 0.000
0.000 0.000 0.500
0.000 0.500 0.865
0.500 0.000 0.135
0.500 0.500 0.500
0.000 0.000 0.000
0.000 0.500 0.623
0.500 0.000 0.377

GGA-PBE ReSbAs2, optimized geometry; ΔE_f (raw) = 0.828 eV/atom; ρ = 10.26 Mg/m³; electronic total energy = -5.64 eV per atom; V = 74.1 Å³/f.u.; DOS(E_F) = 3.70 states/eV/cell
1.0
4.831 0.000 0.000
0.000 4.831 0.000
0.000 0.000 3.176
Re Sb As
1 1 2
Direct
0.000 0.000 0.000
0.500 0.500 0.000
0.000 0.500 0.500
0.500 0.000 0.500

GGA-PBE HfP2Pb, optimized geometry; ρ = 8.42 Mg/m³; electronic total energy = -6.66 eV per atom; V = 88.3 Å³/f.u.; DOS(E_F) = 0.88 states/eV/cell; formation energy from the elements = -0.5415 eV/atom
1.0
1.923 1.110 6.892
-1.923 1.110 6.892
0.000 -2.220 6.892
Hf P Pb
1 2 1
Direct
0.000 0.000 0.000
0.262 0.262 0.262
0.738 0.738 0.738
0.500 0.500 0.500

GGA-PBE Tl3SeN, optimized geometry; ΔE_f (raw) = 1.059 eV/atom; ρ = 4.84 Mg/m³; electronic total energy = -2.72 eV per atom; V = 242.5 Å³/f.u.; DOS(E_F) = 3.88 states/eV/cell
1.0
6.236 0.000 0.000
0.000 6.236 0.000
0.000 0.000 6.236
Tl Se N
3 1 1
Direct
0.000 0.000 0.500
0.000 0.500 0.000
0.500 0.000 0.000
0.000 0.000 0.000
0.500 0.500 0.500